## w
! GGA-PBE MnTcNi2, optimized geometry; values from VASP
&SYSTEM
  ibrav = 0, nat = 4, ntyp = 3
/
ATOMIC_SPECIES
Mn 54.94 Mn.upf
Tc 98.00 Tc.upf
Ni 58.69 Ni.upf
CELL_PARAMETERS angstrom
3.001 0.000 0.000
0.000 3.001 0.000
0.000 0.000 5.385
ATOMIC_POSITIONS crystal
Mn 0.000 0.000 0.000
Tc 0.500 0.500 0.736
Ni 0.000 0.000 0.468
Ni 0.500 0.500 0.237
! Fermi-level density of states	1.5296	states/eV per atom

## x
! GGA-PBE MnTcNi2, optimized geometry; values from VASP
&SYSTEM
  ibrav = 0, nat = 8, ntyp = 3
/
ATOMIC_SPECIES
Mn 54.94 Mn.upf
Tc 98.00 Tc.upf
Ni 58.69 Ni.upf
CELL_PARAMETERS angstrom
-1.710 1.710 8.623
1.710 -1.710 8.623
1.710 1.710 -8.623
ATOMIC_POSITIONS crystal
Mn 0.000 0.000 0.000
Mn 0.750 0.250 0.500
Tc 0.250 0.750 0.500
Tc 0.500 0.500 0.000
Ni 0.117 0.625 0.992
Ni 0.375 0.367 0.492
Ni 0.633 0.125 0.008
Ni 0.875 0.883 0.508
! Fermi-level density of states	1.2548	states/eV per atom

It turns out w is the most stable, with the second structure 0.386 eV/atom higher.

## w
! GGA-PBE MnTc3Ni, optimized geometry; values from VASP
&SYSTEM
  ibrav = 0, nat = 5, ntyp = 3
/
ATOMIC_SPECIES
Mn 54.94 Mn.upf
Tc 98.00 Tc.upf
Ni 58.69 Ni.upf
CELL_PARAMETERS angstrom
4.346 0.000 0.000
0.000 4.346 0.000
0.000 0.000 4.346
ATOMIC_POSITIONS crystal
Mn 0.000 0.000 0.000
Tc 0.000 0.500 0.500
Tc 0.500 0.000 0.500
Tc 0.500 0.500 0.000
Ni 0.500 0.500 0.500
! Fermi-level density of states	2.6117	states/eV per atom

## x
! GGA-PBE MnTc3Ni, optimized geometry; values from VASP
&SYSTEM
  ibrav = 0, nat = 5, ntyp = 3
/
ATOMIC_SPECIES
Mn 54.94 Mn.upf
Tc 98.00 Tc.upf
Ni 58.69 Ni.upf
CELL_PARAMETERS angstrom
4.351 0.000 0.000
0.000 4.351 0.000
0.000 0.000 4.351
ATOMIC_POSITIONS crystal
Mn 0.000 0.000 0.000
Tc 0.000 0.000 0.500
Tc 0.000 0.500 0.000
Tc 0.500 0.000 0.000
Ni 0.500 0.500 0.500
! Fermi-level density of states	1.4534	states/eV per atom

It turns out x is the most stable, with the second structure 0.409 eV/atom higher.

## w
! GGA-PBE Mn3TcNi, optimized geometry; values from VASP
&SYSTEM
  ibrav = 0, nat = 5, ntyp = 3
/
ATOMIC_SPECIES
Mn 54.94 Mn.upf
Tc 98.00 Tc.upf
Ni 58.69 Ni.upf
CELL_PARAMETERS angstrom
4.510 0.000 0.000
0.000 4.510 0.000
0.000 0.000 4.510
ATOMIC_POSITIONS crystal
Mn 0.000 0.000 0.500
Mn 0.000 0.500 0.000
Mn 0.500 0.000 0.000
Tc 0.000 0.000 0.000
Ni 0.500 0.500 0.500
! Fermi-level density of states	1.6528	states/eV per atom

## x
! GGA-PBE Mn3TcNi, optimized geometry; values from VASP
&SYSTEM
  ibrav = 0, nat = 5, ntyp = 3
/
ATOMIC_SPECIES
Mn 54.94 Mn.upf
Tc 98.00 Tc.upf
Ni 58.69 Ni.upf
CELL_PARAMETERS angstrom
4.119 0.000 0.000
0.000 4.119 0.000
0.000 0.000 4.119
ATOMIC_POSITIONS crystal
Mn 0.000 0.000 0.500
Mn 0.000 0.500 0.000
Mn 0.500 0.000 0.000
Tc 0.500 0.500 0.500
Ni 0.000 0.000 0.000
! Fermi-level density of states	2.6254	states/eV per atom

It turns out w is the most stable, with the second structure 0.107 eV/atom higher.

## w
! GGA-PBE MnTc2Ni2, optimized geometry; values from VASP
&SYSTEM
  ibrav = 0, nat = 10, ntyp = 3
/
ATOMIC_SPECIES
Mn 54.94 Mn.upf
Tc 98.00 Tc.upf
Ni 58.69 Ni.upf
CELL_PARAMETERS angstrom
6.196 0.000 0.000
0.000 6.196 0.000
0.000 0.000 3.306
ATOMIC_POSITIONS crystal
Mn 0.000 0.000 0.000
Mn 0.500 0.500 0.000
Tc 0.168 0.332 0.500
Tc 0.332 0.832 0.500
Tc 0.668 0.168 0.500
Tc 0.832 0.668 0.500
Ni 0.132 0.632 0.000
Ni 0.368 0.132 0.000
Ni 0.632 0.868 0.000
Ni 0.868 0.368 0.000
! Fermi-level density of states	1.3575	states/eV per atom

## x
! GGA-PBE MnTc2Ni2, optimized geometry; values from VASP
&SYSTEM
  ibrav = 0, nat = 5, ntyp = 3
/
ATOMIC_SPECIES
Mn 54.94 Mn.upf
Tc 98.00 Tc.upf
Ni 58.69 Ni.upf
CELL_PARAMETERS angstrom
-1.624 1.624 6.452
1.624 -1.624 6.452
1.624 1.624 -6.452
ATOMIC_POSITIONS crystal
Mn 0.000 0.000 0.000
Tc 0.402 0.402 0.000
Tc 0.598 0.598 0.000
Ni 0.250 0.750 0.500
Ni 0.750 0.250 0.500
! Fermi-level density of states	1.3537	states/eV per atom

## y
! GGA-PBE MnTc2Ni2, optimized geometry; values from VASP
&SYSTEM
  ibrav = 0, nat = 10, ntyp = 3
/
ATOMIC_SPECIES
Mn 54.94 Mn.upf
Tc 98.00 Tc.upf
Ni 58.69 Ni.upf
CELL_PARAMETERS angstrom
7.240 0.000 0.000
0.000 7.240 0.000
0.000 0.000 2.533
ATOMIC_POSITIONS crystal
Mn 0.000 0.000 0.000
Mn 0.500 0.500 0.000
Tc 0.126 0.374 0.000
Tc 0.374 0.874 0.000
Tc 0.626 0.126 0.000
Tc 0.874 0.626 0.000
Ni 0.170 0.670 0.500
Ni 0.330 0.170 0.500
Ni 0.670 0.830 0.500
Ni 0.830 0.330 0.500
! Fermi-level density of states	1.3528	states/eV per atom

It turns out w is the most stable, with the second structure 0.091 eV/atom higher.

## w
! GGA-PBE TiMn2Ni2, optimized geometry; values from VASP
&SYSTEM
  ibrav = 0, nat = 10, ntyp = 3
/
ATOMIC_SPECIES
Ti 47.87 Ti.upf
Mn 54.94 Mn.upf
Ni 58.69 Ni.upf
CELL_PARAMETERS angstrom
6.952 0.000 0.000
0.000 6.952 0.000
0.000 0.000 2.496
ATOMIC_POSITIONS crystal
Ti 0.000 0.000 0.000
Ti 0.500 0.500 0.000
Mn 0.110 0.390 0.000
Mn 0.390 0.890 0.000
Mn 0.610 0.110 0.000
Mn 0.890 0.610 0.000
Ni 0.184 0.684 0.500
Ni 0.316 0.184 0.500
Ni 0.684 0.816 0.500
Ni 0.816 0.316 0.500
! Fermi-level density of states	1.1848	states/eV per atom

## x
! GGA-PBE TiMn2Ni2, optimized geometry; values from VASP
&SYSTEM
  ibrav = 0, nat = 10, ntyp = 3
/
ATOMIC_SPECIES
Ti 47.87 Ti.upf
Mn 54.94 Mn.upf
Ni 58.69 Ni.upf
CELL_PARAMETERS angstrom
6.867 0.000 0.000
0.000 6.867 0.000
0.000 0.000 2.787
ATOMIC_POSITIONS crystal
Ti 0.000 0.000 0.000
Ti 0.500 0.500 0.000
Mn 0.162 0.338 0.500
Mn 0.338 0.838 0.500
Mn 0.662 0.162 0.500
Mn 0.838 0.662 0.500
Ni 0.133 0.633 0.000
Ni 0.367 0.133 0.000
Ni 0.633 0.867 0.000
Ni 0.867 0.367 0.000
! Fermi-level density of states	0.4784	states/eV per atom

It turns out x is the most stable, with the second structure 0.087 eV/atom higher.

## w
! GGA-PBE Ti3MnNi, optimized geometry; values from VASP
&SYSTEM
  ibrav = 0, nat = 5, ntyp = 3
/
ATOMIC_SPECIES
Ti 47.87 Ti.upf
Mn 54.94 Mn.upf
Ni 58.69 Ni.upf
CELL_PARAMETERS angstrom
4.426 0.000 0.000
0.000 4.426 0.000
0.000 0.000 4.426
ATOMIC_POSITIONS crystal
Ti 0.000 0.000 0.500
Ti 0.000 0.500 0.000
Ti 0.500 0.000 0.000
Mn 0.000 0.000 0.000
Ni 0.500 0.500 0.500
! Fermi-level density of states	1.5106	states/eV per atom

## x
! GGA-PBE Ti3MnNi, optimized geometry; values from VASP
&SYSTEM
  ibrav = 0, nat = 5, ntyp = 3
/
ATOMIC_SPECIES
Ti 47.87 Ti.upf
Mn 54.94 Mn.upf
Ni 58.69 Ni.upf
CELL_PARAMETERS angstrom
4.441 0.000 0.000
0.000 4.441 0.000
0.000 0.000 4.441
ATOMIC_POSITIONS crystal
Ti 0.000 0.000 0.500
Ti 0.000 0.500 0.000
Ti 0.500 0.000 0.000
Mn 0.500 0.500 0.500
Ni 0.000 0.000 0.000
! Fermi-level density of states	1.7425	states/eV per atom

It turns out w is the most stable, with the second structure 0.243 eV/atom higher.

## w
! GGA-PBE Ti2MnNi, optimized geometry; values from VASP
&SYSTEM
  ibrav = 0, nat = 4, ntyp = 3
/
ATOMIC_SPECIES
Ti 47.87 Ti.upf
Mn 54.94 Mn.upf
Ni 58.69 Ni.upf
CELL_PARAMETERS angstrom
3.007 0.000 0.000
0.000 3.007 0.000
0.000 0.000 5.909
ATOMIC_POSITIONS crystal
Ti 0.000 0.000 0.241
Ti 0.000 0.000 0.759
Mn 0.500 0.500 0.000
Ni 0.500 0.500 0.500
! Fermi-level density of states	0.8582	states/eV per atom

## x
! GGA-PBE Ti2MnNi, optimized geometry; values from VASP
&SYSTEM
  ibrav = 0, nat = 8, ntyp = 3
/
ATOMIC_SPECIES
Ti 47.87 Ti.upf
Mn 54.94 Mn.upf
Ni 58.69 Ni.upf
CELL_PARAMETERS angstrom
-1.847 1.847 8.905
1.847 -1.847 8.905
1.847 1.847 -8.905
ATOMIC_POSITIONS crystal
Ti 0.124 0.625 0.999
Ti 0.375 0.374 0.499
Ti 0.626 0.125 0.001
Ti 0.875 0.876 0.501
Mn 0.250 0.750 0.500
Mn 0.500 0.500 0.000
Ni 0.000 0.000 0.000
Ni 0.750 0.250 0.500
! Fermi-level density of states	0.9082	states/eV per atom

## y
! GGA-PBE Ti2MnNi, optimized geometry; values from VASP
&SYSTEM
  ibrav = 0, nat = 4, ntyp = 3
/
ATOMIC_SPECIES
Ti 47.87 Ti.upf
Mn 54.94 Mn.upf
Ni 58.69 Ni.upf
CELL_PARAMETERS angstrom
0.000 2.987 2.987
2.987 0.000 2.987
2.987 2.987 0.000
ATOMIC_POSITIONS crystal
Ti 0.250 0.250 0.250
Ti 0.750 0.750 0.750
Mn 0.000 0.000 0.000
Ni 0.500 0.500 0.500
! Fermi-level density of states	1.2943	states/eV per atom

It turns out w is the most stable, with the second structure 0.040 eV/atom higher.

## w
! GGA-PBE MnTlNi, optimized geometry; values from VASP
&SYSTEM
  ibrav = 0, nat = 3, ntyp = 3
/
ATOMIC_SPECIES
Mn 54.94 Mn.upf
Tl 204.38 Tl.upf
Ni 58.69 Ni.upf
CELL_PARAMETERS angstrom
4.384 0.000 0.000
-2.192 3.797 0.000
0.000 0.000 2.975
ATOMIC_POSITIONS crystal
Mn 0.000 0.000 0.000
Tl 0.333 0.667 0.553
Ni 0.667 0.333 0.318
! Fermi-level density of states	0.7182	states/eV per atom

## x
! GGA-PBE MnTlNi, optimized geometry; values from VASP
&SYSTEM
  ibrav = 0, nat = 3, ntyp = 3
/
ATOMIC_SPECIES
Mn 54.94 Mn.upf
Tl 204.38 Tl.upf
Ni 58.69 Ni.upf
CELL_PARAMETERS angstrom
-1.553 1.553 5.170
1.553 -1.553 5.170
1.553 1.553 -5.170
ATOMIC_POSITIONS crystal
Mn 0.000 0.000 0.000
Tl 0.701 0.701 0.000
Ni 0.377 0.377 0.000
! Fermi-level density of states	0.6347	states/eV per atom

It turns out x is the most stable, with the second structure 0.098 eV/atom higher.